# 1
The following is a DFT calculation (PBE-GGA) of NaNbIn after structural relaxation.

Unit cell a=3.039 b=3.039 c=15.261 alpha=89.90 beta=89.82 gamma=76.24
Sites, in units of the cell vectors:
Na1 0.242 0.247 0.397
Na2 0.758 0.753 0.603
Nb1 0.248 0.250 0.070
Nb2 0.752 0.750 0.930
In1 0.255 0.252 0.775
In2 0.745 0.748 0.225

## Properties
- M_tot: 0.000 μB/f.u.
- ΔH_f (0 K): 0.065 eV/atom
- Symmetry: No. 2



# 2
The following is a DFT calculation (PBE-GGA) of Na2NbIn after structural relaxation.

Unit cell a=8.591 b=8.591 c=5.836 alpha=90.00 beta=90.00 gamma=90.00
Sites, in units of the cell vectors:
Na1 0.237 0.250 0.125
Na2 0.250 0.737 0.375
Na3 0.250 0.763 0.875
Na4 0.263 0.250 0.625
Na5 0.737 0.750 0.625
Na6 0.750 0.237 0.875
Na7 0.750 0.263 0.375
Na8 0.763 0.750 0.125
Nb1 0.000 0.000 0.500
Nb2 0.000 0.500 0.750
Nb3 0.500 0.000 0.250
Nb4 0.500 0.500 0.000
In1 0.000 0.000 0.000
In2 0.000 0.500 0.250
In3 0.500 0.000 0.750
In4 0.500 0.500 0.500

## Properties
- M_tot: 3.200 μB/f.u.
- ΔH_f (0 K): 0.862 eV/atom
- Symmetry: No. 122



# 3
The following is a DFT calculation (PBE-GGA) of NaNbIn2O6 after structural relaxation.

Unit cell a=5.907 b=5.907 c=5.907 alpha=56.10 beta=56.10 gamma=56.10
Sites, in units of the cell vectors:
Na1 0.000 0.000 0.000
Nb1 0.514 0.514 0.514
In1 0.222 0.222 0.222
In2 0.721 0.721 0.721
O1 0.143 0.441 0.785
O2 0.352 0.897 0.584
O3 0.441 0.785 0.143
O4 0.584 0.352 0.897
O5 0.785 0.143 0.441
O6 0.897 0.584 0.352

## Properties
- E_tot: -6.58 eV/atom
- M_tot: 0.000 μB/f.u.
- Symmetry: No. 146



# 4
The following is a DFT calculation (PBE-GGA) of NaNbInPb2 after structural relaxation.

Unit cell a=5.281 b=5.281 c=5.184 alpha=90.00 beta=90.00 gamma=90.00
Sites, in units of the cell vectors:
Na1 0.000 0.000 0.000
Nb1 0.500 0.500 0.500
In1 0.000 0.000 0.500
Pb1 0.000 0.500 0.000
Pb2 0.500 0.000 0.000

## Properties
- M_tot: 0.000 μB/f.u.
- ΔH_f (0 K): 1.268 eV/atom
- Symmetry: No. 123



# 5
The following is a DFT calculation (PBE-GGA) of Na3NbIn3S8 after structural relaxation.

Unit cell a=7.635 b=7.635 c=8.077 alpha=118.26 beta=118.26 gamma=59.98
Sites, in units of the cell vectors:
Na1 0.000 0.000 0.000
Na2 0.000 0.500 0.000
Na3 0.500 0.000 0.000
Nb1 0.000 0.000 0.500
In1 0.000 0.500 0.500
In2 0.500 0.000 0.500
In3 0.500 0.500 0.500
S1 0.228 0.228 0.711
S2 0.228 0.755 0.711
S3 0.245 0.772 0.289
S4 0.261 0.261 0.283
S5 0.739 0.739 0.717
S6 0.755 0.228 0.711
S7 0.772 0.245 0.289
S8 0.772 0.772 0.289

## Properties
- E_tot: -4.52 eV/atom
- M_tot: 0.969 μB/f.u.
- Symmetry: No. 12



# 6
The following is a DFT calculation (PBE-GGA) of Na2NbInSb after structural relaxation.

Unit cell a=5.551 b=5.551 c=5.752 alpha=90.00 beta=90.00 gamma=90.00
Sites, in units of the cell vectors:
Na1 0.000 0.500 0.000
Na2 0.500 0.000 0.000
Nb1 0.000 0.000 0.500
In1 0.500 0.500 0.500
Sb1 0.500 0.500 0.000

## Properties
- E_tot: -2.69 eV/atom
- M_tot: 0.613 μB/f.u.
- Symmetry: No. 123



# 7
The following is a DFT calculation (PBE-GGA) of Na2NbInSi after structural relaxation.

Unit cell a=5.863 b=5.863 c=4.901 alpha=90.00 beta=90.00 gamma=90.00
Sites, in units of the cell vectors:
Na1 0.000 0.500 0.000
Na2 0.500 0.000 0.000
Nb1 0.000 0.000 0.000
In1 0.500 0.500 0.500
Si1 0.000 0.000 0.500

## Properties
- E_tot: -3.22 eV/atom
- M_tot: 3.020 μB/f.u.
- Symmetry: No. 123



# 8
The following is a DFT calculation (PBE-GGA) of NaTaNbIn2 after structural relaxation.

Unit cell a=4.776 b=4.776 c=4.958 alpha=90.00 beta=90.00 gamma=90.00
Sites, in units of the cell vectors:
Na1 0.000 0.000 0.000
Ta1 0.500 0.500 0.500
Nb1 0.000 0.000 0.500
In1 0.000 0.500 0.000
In2 0.500 0.000 0.000

## Properties
- M_tot: 0.464 μB/f.u.
- ΔH_f (0 K): 1.687 eV/atom
- Symmetry: No. 123



# 9
The following is a DFT calculation (PBE-GGA) of Na2NbVIn after structural relaxation.

Unit cell a=5.778 b=5.778 c=4.434 alpha=90.00 beta=90.00 gamma=90.00
Sites, in units of the cell vectors:
Na1 0.000 0.500 0.000
Na2 0.500 0.000 0.000
Nb1 0.000 0.000 0.000
V1 0.000 0.000 0.500
In1 0.500 0.500 0.500

## Properties
- M_tot: 0.001 μB/f.u.
- ΔH_f (0 K): 1.252 eV/atom
- Symmetry: No. 123



# 10
The following is a DFT calculation (PBE-GGA) of Na2NbZnIn after structural relaxation.

Unit cell a=5.966 b=5.966 c=5.596 alpha=90.00 beta=90.00 gamma=90.00
Sites, in units of the cell vectors:
Na1 0.000 0.500 0.000
Na2 0.500 0.000 0.000
Nb1 0.000 0.000 0.000
Zn1 0.500 0.500 0.500
In1 0.000 0.000 0.500

## Properties
- M_tot: 4.471 μB/f.u.
- ΔH_f (0 K): 1.133 eV/atom
- Symmetry: No. 123



# 11
The following is a DFT calculation (PBE-GGA) of Na2NbZnIn after structural relaxation.

Unit cell a=4.899 b=4.899 c=5.168 alpha=90.00 beta=90.00 gamma=90.00
Sites, in units of the cell vectors:
Na1 0.000 0.500 0.000
Na2 0.500 0.000 0.000
Nb1 0.000 0.000 0.500
Zn1 0.000 0.000 0.000
In1 0.500 0.500 0.500

## Properties
- M_tot: 0.000 μB/f.u.
- ΔH_f (0 K): 0.729 eV/atom
- Symmetry: No. 123



# 12
The following is a DFT calculation (PBE-GGA) of NaNd12In6 after structural relaxation.

Unit cell a=9.122 b=9.122 c=9.122 alpha=107.27 beta=107.27 gamma=107.27
Sites, in units of the cell vectors:
Na1 0.000 0.000 0.000
Nd1 0.039 0.887 0.349
Nd2 0.062 0.323 0.415
Nd3 0.113 0.651 0.961
Nd4 0.323 0.415 0.062
Nd5 0.349 0.039 0.887
Nd6 0.415 0.062 0.323
Nd7 0.585 0.938 0.677
Nd8 0.651 0.961 0.113
Nd9 0.677 0.585 0.938
Nd10 0.887 0.349 0.039
Nd11 0.938 0.677 0.585
Nd12 0.961 0.113 0.651
In1 0.245 0.656 0.357
In2 0.344 0.643 0.755
In3 0.357 0.245 0.656
In4 0.643 0.755 0.344
In5 0.656 0.357 0.245
In6 0.755 0.344 0.643

## Properties
- M_tot: 0.000 μB/f.u.
- ΔH_f (0 K): -0.065 eV/atom
- Symmetry: No. 148



# 13
The following is a DFT calculation (PBE-GGA) of NaNd3In12 after structural relaxation.

Unit cell a=4.717 b=4.717 c=18.798 alpha=90.00 beta=90.00 gamma=90.00
Sites, in units of the cell vectors:
Na1 0.000 0.000 0.000
Nd1 0.000 0.000 0.249
Nd2 0.000 0.000 0.500
Nd3 0.000 0.000 0.751
In1 0.000 0.500 0.121
In2 0.000 0.500 0.374
In3 0.000 0.500 0.626
In4 0.000 0.500 0.879
In5 0.500 0.000 0.121
In6 0.500 0.000 0.374
In7 0.500 0.000 0.626
In8 0.500 0.000 0.879
In9 0.500 0.500 0.000
In10 0.500 0.500 0.252
In11 0.500 0.500 0.500
In12 0.500 0.500 0.748

## Properties
- M_tot: 0.000 μB/f.u.
- ΔH_f (0 K): -0.360 eV/atom
- Symmetry: No. 123



# 14
The following is a DFT calculation (PBE-GGA) of NaNd5In3 after structural relaxation.

Unit cell a=9.646 b=9.646 c=6.858 alpha=90.00 beta=90.00 gamma=120.00
Sites, in units of the cell vectors:
Na1 0.000 0.000 0.000
Na2 0.000 0.000 0.500
Nd1 0.000 0.320 0.250
Nd2 0.000 0.680 0.750
Nd3 0.320 0.000 0.250
Nd4 0.320 0.320 0.750
Nd5 0.333 0.667 0.000
Nd6 0.333 0.667 0.500
Nd7 0.667 0.333 0.000
Nd8 0.667 0.333 0.500
Nd9 0.680 0.000 0.750
Nd10 0.680 0.680 0.250
In1 0.000 0.344 0.750
In2 0.000 0.656 0.250
In3 0.344 0.000 0.750
In4 0.344 0.344 0.250
In5 0.656 0.000 0.250
In6 0.656 0.656 0.750

## Properties
- M_tot: 0.001 μB/f.u.
- ΔH_f (0 K): -0.314 eV/atom
- Symmetry: No. 193



# 15
The following is a DFT calculation (PBE-GGA) of NaNdIn2 after structural relaxation.

Unit cell a=5.278 b=5.278 c=4.015 alpha=90.00 beta=90.00 gamma=90.00
Sites, in units of the cell vectors:
Na1 0.000 0.000 0.000
Nd1 0.500 0.500 0.000
In1 0.000 0.500 0.500
In2 0.500 0.000 0.500

## Properties
- M_tot: 0.000 μB/f.u.
- ΔH_f (0 K): -0.319 eV/atom
- Symmetry: No. 123



# 16
The following is a DFT calculation (PBE-GGA) of NaNd4In5 after structural relaxation.

Unit cell a=3.822 b=3.822 c=19.668 alpha=90.00 beta=90.00 gamma=90.00
Sites, in units of the cell vectors:
Na1 0.000 0.000 0.000
Nd1 0.000 0.000 0.194
Nd2 0.000 0.000 0.398
Nd3 0.000 0.000 0.602
Nd4 0.000 0.000 0.806
In1 0.500 0.500 0.096
In2 0.500 0.500 0.297
In3 0.500 0.500 0.500
In4 0.500 0.500 0.703
In5 0.500 0.500 0.904

## Properties
- M_tot: 0.000 μB/f.u.
- ΔH_f (0 K): -0.401 eV/atom
- Symmetry: No. 123



# 17
The following is a DFT calculation (PBE-GGA) of Na2NdIn after structural relaxation.

Unit cell a=3.436 b=3.436 c=37.728 alpha=90.00 beta=90.00 gamma=120.00
Sites, in units of the cell vectors:
Na1 0.000 0.000 0.092
Na2 0.000 0.000 0.908
Na3 0.333 0.667 0.575
Na4 0.333 0.667 0.758
Na5 0.667 0.333 0.242
Na6 0.667 0.333 0.425
Nd1 0.000 0.000 0.000
Nd2 0.333 0.667 0.667
Nd3 0.667 0.333 0.333
In1 0.000 0.000 0.500
In2 0.333 0.667 0.167
In3 0.667 0.333 0.833

## Properties
- M_tot: 0.000 μB/f.u.
- ΔH_f (0 K): 0.139 eV/atom
- Symmetry: No. 166



# 18
The following is a DFT calculation (PBE-GGA) of NaNdIn2 after structural relaxation.

Unit cell a=7.615 b=7.615 c=7.615 alpha=90.00 beta=90.00 gamma=90.00
Sites, in units of the cell vectors:
Na1 0.000 0.000 0.000
Na2 0.000 0.500 0.500
Na3 0.500 0.000 0.500
Na4 0.500 0.500 0.000
Nd1 0.000 0.000 0.500
Nd2 0.000 0.500 0.000
Nd3 0.500 0.000 0.000
Nd4 0.500 0.500 0.500
In1 0.250 0.250 0.250
In2 0.250 0.250 0.750
In3 0.250 0.750 0.250
In4 0.250 0.750 0.750
In5 0.750 0.250 0.250
In6 0.750 0.250 0.750
In7 0.750 0.750 0.250
In8 0.750 0.750 0.750

## Properties
- M_tot: 0.000 μB/f.u.
- ΔH_f (0 K): -0.303 eV/atom
- Symmetry: No. 225



# 19
The following is a DFT calculation (PBE-GGA) of NaNd6In6 after structural relaxation.

Unit cell a=6.489 b=6.489 c=11.007 alpha=90.00 beta=90.00 gamma=120.00
Sites, in units of the cell vectors:
Na1 0.000 0.000 0.000
Nd1 0.000 0.000 0.325
Nd2 0.000 0.000 0.675
Nd3 0.333 0.667 0.000
Nd4 0.333 0.667 0.500
Nd5 0.667 0.333 0.000
Nd6 0.667 0.333 0.500
In1 0.000 0.500 0.247
In2 0.000 0.500 0.753
In3 0.500 0.000 0.247
In4 0.500 0.000 0.753
In5 0.500 0.500 0.247
In6 0.500 0.500 0.753

## Properties
- M_tot: 0.568 μB/f.u.
- ΔH_f (0 K): -0.294 eV/atom
- Symmetry: No. 191



# 20
The following is a DFT calculation (PBE-GGA) of NaNd3In4 after structural relaxation.

Unit cell a=9.547 b=9.547 c=9.547 alpha=32.90 beta=32.90 gamma=32.90
Sites, in units of the cell vectors:
Na1 0.000 0.000 0.000
Nd1 0.256 0.256 0.256
Nd2 0.500 0.500 0.500
Nd3 0.744 0.744 0.744
In1 0.125 0.125 0.125
In2 0.376 0.376 0.376
In3 0.624 0.624 0.624
In4 0.875 0.875 0.875

## Properties
- M_tot: 0.000 μB/f.u.
- ΔH_f (0 K): -0.399 eV/atom
- Symmetry: No. 166